1.
This record from the Alexandria database describes an optimized crystal structure of CaGePt. The functional is PBEsol.

```
CaGePt
1.0
7.097 0.000 0.000
0.000 4.403 0.000
0.000 0.000 7.370
Ca Ge Pt
4 4 4
Cartesian
0.049 1.101 1.436
3.499 3.302 5.121
3.598 1.101 2.249
7.048 3.302 5.933
1.271 1.101 4.286
2.278 3.302 0.601
4.819 1.101 6.768
5.827 3.302 3.084
1.399 3.302 2.992
2.149 1.101 6.677
4.948 3.302 0.693
5.698 1.101 4.377
```

Results
ρ ... 8.88 g cm⁻³
Spin magnetization ... 0.00 μB/atom
N(E_F) ... 1.33 states/eV/f.u.
SG ... Pnma (62)
Total DFT energy (no corrections) ... -67.2 eV for the cell shown


2.
This record from the Alexandria database describes an optimized crystal structure of RbCaGe2. The functional is PBEsol.

```
RbCaGe2
1.0
7.555 0.000 0.000
0.000 7.555 0.000
0.000 0.000 7.555
Rb Ca Ge
4 4 8
Cartesian
0.000 0.000 0.000
0.000 3.778 3.778
3.778 0.000 3.778
3.778 3.778 0.000
0.000 0.000 3.778
0.000 3.778 0.000
3.778 0.000 0.000
3.778 3.778 3.778
1.889 1.889 1.889
1.889 1.889 5.666
1.889 5.666 1.889
1.889 5.666 5.666
5.666 1.889 1.889
5.666 1.889 5.666
5.666 5.666 1.889
5.666 5.666 5.666
```

Results
ρ ... 4.17 g cm⁻³
Spin magnetization ... 0.00 μB/atom
N(E_F) ... 2.46 states/eV/f.u.
SG ... Fm-3m (225)
Total DFT energy (no corrections) ... -51.1 eV for the cell shown


Number 1: ΔE_f -0.92 eV/atom, V 230.3 Å³ per cell. Number 2: ΔE_f 0.07 eV/atom, V 431.3 Å³ per cell.